[1]
Ac2Pr3Nd5: optimized geometry, PBE.

Properties
Its space group is Ibam. As for the density: 6.994 g/cm3.

Structure (POSCAR):
```
Ac2Pr3Nd5
1.0
-6.231 9.001 3.382
6.231 -9.001 3.382
6.231 9.001 -3.382
Ac Pr Nd
4 6 10
Direct
0.172 0.091 0.262 Ac
0.328 0.591 0.919 Ac
0.672 0.409 0.081 Ac
0.828 0.909 0.738 Ac
0.165 0.408 0.573 Pr
0.250 0.250 0.000 Pr
0.335 0.908 0.243 Pr
0.665 0.092 0.757 Pr
0.750 0.750 0.000 Pr
0.835 0.592 0.427 Pr
0.163 0.751 0.913 Nd
0.250 0.501 0.251 Nd
0.250 0.750 0.500 Nd
0.250 0.999 0.749 Nd
0.337 0.251 0.588 Nd
0.663 0.749 0.412 Nd
0.750 0.001 0.251 Nd
0.750 0.250 0.500 Nd
0.750 0.499 0.749 Nd
0.837 0.249 0.087 Nd
```

***

[2]
Ac2PrNd6: optimized geometry, PBE.

Properties
Its space group is C2/m. As for the density: 7.255 g/cm3.

Structure (POSCAR):
```
Ac2PrNd6
1.0
4.806 -9.287 0.000
4.806 9.287 0.000
-0.622 0.000 3.744
Ac Pr Nd
2 1 6
Direct
0.170 0.830 0.000 Ac
0.830 0.170 0.000 Ac
0.000 0.000 0.500 Pr
0.174 0.502 0.655 Nd
0.334 0.334 0.156 Nd
0.498 0.826 0.345 Nd
0.502 0.174 0.655 Nd
0.666 0.666 0.844 Nd
0.826 0.498 0.345 Nd
```

***

[3]
Ac2Pr6Nd5: optimized geometry, PBE.

Properties
Its space group is Pbam. As for the density: 6.867 g/cm3.

Structure (POSCAR):
```
Ac2Pr6Nd5
1.0
12.290 0.000 0.000
0.000 21.208 0.000
0.000 0.000 3.749
Ac Pr Nd
4 12 10
Direct
0.168 0.220 0.000 Ac
0.332 0.720 0.000 Ac
0.668 0.280 0.000 Ac
0.832 0.780 0.000 Ac
0.058 0.924 0.000 Pr
0.073 0.637 0.000 Pr
0.184 0.378 0.500 Pr
0.316 0.878 0.500 Pr
0.427 0.137 0.000 Pr
0.442 0.424 0.000 Pr
0.558 0.576 0.000 Pr
0.573 0.863 0.000 Pr
0.684 0.122 0.500 Pr
0.816 0.622 0.500 Pr
0.927 0.363 0.000 Pr
0.942 0.076 0.000 Pr
0.000 0.500 0.500 Nd
0.090 0.782 0.500 Nd
0.203 0.055 0.500 Nd
0.297 0.555 0.500 Nd
0.410 0.282 0.500 Nd
0.500 0.000 0.500 Nd
0.590 0.718 0.500 Nd
0.703 0.445 0.500 Nd
0.797 0.945 0.500 Nd
0.910 0.218 0.500 Nd
```

***

[4]
AcPr5Nd7: optimized geometry, PBE.

Properties
Its space group is Imm2. As for the density: 6.677 g/cm3.

Structure (POSCAR):
```
AcPr5Nd7
1.0
-3.444 5.792 6.051
3.444 -5.792 6.051
3.444 5.792 -6.051
Ac Pr Nd
1 5 7
Direct
0.000 0.000 0.000 Ac
0.028 0.029 0.468 Pr
0.028 0.560 0.999 Pr
0.560 0.029 0.001 Pr
0.560 0.560 0.532 Pr
0.763 0.263 0.500 Pr
0.211 0.533 0.678 Nd
0.258 0.758 0.500 Nd
0.324 0.324 0.000 Nd
0.366 0.031 0.335 Nd
0.609 0.609 0.000 Nd
0.696 0.031 0.665 Nd
0.855 0.533 0.322 Nd
```

***

[5]
Ac5Pr2Nd3: optimized geometry, PBE.

Properties
Its space group is C2/m. As for the density: 7.682 g/cm3.

Structure (POSCAR):
```
Ac5Pr2Nd3
1.0
5.968 -2.757 0.000
5.968 2.757 0.000
-0.310 0.000 12.150
Ac Pr Nd
5 2 3
Direct
0.000 0.000 0.000 Ac
0.200 0.200 0.600 Ac
0.400 0.400 0.200 Ac
0.600 0.600 0.800 Ac
0.800 0.800 0.400 Ac
0.100 0.100 0.300 Pr
0.900 0.900 0.700 Pr
0.300 0.300 0.900 Nd
0.500 0.500 0.500 Nd
0.700 0.700 0.100 Nd
```

***

[6]
AcPr4Nd7: optimized geometry, PBE.

Properties
Its space group is P-1. As for the density: 6.825 g/cm3.

Structure (POSCAR):
```
AcPr4Nd7
1.0
6.491 0.000 0.000
0.015 7.473 0.000
2.174 0.008 9.029
Ac Pr Nd
1 4 7
Direct
0.000 0.000 0.000 Ac
0.218 0.500 0.331 Pr
0.282 0.252 0.666 Pr
0.718 0.748 0.334 Pr
0.782 0.500 0.669 Pr
0.000 0.500 0.000 Nd
0.223 0.000 0.335 Nd
0.281 0.747 0.667 Nd
0.500 0.252 0.000 Nd
0.500 0.748 0.000 Nd
0.719 0.253 0.333 Nd
0.777 0.000 0.665 Nd
```

***

[7]
Ac2PrNd4: optimized geometry, PBE.

Properties
Its space group is P1. As for the density: 7.256 g/cm3.

Structure (POSCAR):
```
Ac2PrNd4
1.0
6.601 0.000 0.000
-3.271 8.361 0.000
-0.028 -0.680 9.719
Ac Pr Nd
4 2 8
Direct
0.000 0.000 0.000 Ac
0.041 0.440 0.061 Ac
0.323 0.005 0.482 Ac
0.753 0.862 0.638 Ac
0.275 0.569 0.420 Pr
0.560 0.150 0.847 Pr
0.141 0.297 0.701 Nd
0.183 0.716 0.776 Nd
0.434 0.864 0.130 Nd
0.477 0.296 0.208 Nd
0.605 0.570 0.918 Nd
0.714 0.435 0.564 Nd
0.838 0.716 0.278 Nd
0.892 0.151 0.352 Nd
```

***

[8]
Ac3Pr5Nd4: optimized geometry, PBE.

Properties
Its space group is P-1. As for the density: 7.122 g/cm3.

Structure (POSCAR):
```
Ac3Pr5Nd4
1.0
6.598 0.000 0.000
0.006 7.608 0.000
2.194 0.003 9.114
Ac Pr Nd
3 5 4
Direct
0.000 0.000 0.000 Ac
0.500 0.252 0.000 Ac
0.500 0.748 0.000 Ac
0.000 0.500 0.000 Pr
0.216 0.500 0.335 Pr
0.280 0.252 0.663 Pr
0.720 0.748 0.337 Pr
0.784 0.500 0.665 Pr
0.221 0.000 0.338 Nd
0.280 0.748 0.663 Nd
0.720 0.252 0.337 Nd
0.779 0.000 0.662 Nd
```

***

[9]
AcPr3Nd4: optimized geometry, PBE.

Properties
Its space group is Pmn2_1. As for the density: 6.876 g/cm3.

Structure (POSCAR):
```
AcPr3Nd4
1.0
12.125 0.000 0.000
0.000 7.521 0.000
0.000 0.000 6.497
Ac Pr Nd
2 6 8
Direct
0.000 0.126 0.000 Ac
0.500 0.874 0.500 Ac
0.000 0.871 0.497 Pr
0.249 0.129 0.661 Pr
0.251 0.871 0.161 Pr
0.500 0.129 0.997 Pr
0.749 0.871 0.161 Pr
0.751 0.129 0.661 Pr
0.000 0.381 0.493 Nd
0.000 0.623 0.995 Nd
0.248 0.622 0.667 Nd
0.252 0.378 0.167 Nd
0.500 0.377 0.495 Nd
0.500 0.619 0.993 Nd
0.748 0.378 0.167 Nd
0.752 0.622 0.667 Nd
```

***

[10]
Ac2PrNd4: optimized geometry, PBE.

Properties
Its space group is I4/mmm. As for the density: 6.298 g/cm3.

Structure (POSCAR):
```
Ac2PrNd4
1.0
-2.906 2.906 9.149
2.906 -2.906 9.149
2.906 2.906 -9.149
Ac Pr Nd
2 1 4
Direct
0.127 0.127 0.000 Ac
0.873 0.873 0.000 Ac
0.500 0.500 0.000 Pr
0.000 0.500 0.500 Nd
0.327 0.327 0.000 Nd
0.500 0.000 0.500 Nd
0.673 0.673 0.000 Nd
```

***

[11]
Ac3PrNd4: optimized geometry, PBE.

Properties
Its space group is Pmn2_1. As for the density: 7.497 g/cm3.

Structure (POSCAR):
```
Ac3PrNd4
1.0
10.844 0.000 0.000
0.000 7.561 0.000
0.000 0.000 7.558
Ac Pr Nd
6 2 8
Direct
0.000 0.001 0.000 Ac
0.250 0.255 0.250 Ac
0.250 0.745 0.750 Ac
0.500 0.999 0.500 Ac
0.750 0.255 0.250 Ac
0.750 0.745 0.750 Ac
0.000 0.500 0.500 Pr
0.500 0.500 0.000 Pr
0.000 0.000 0.500 Nd
0.000 0.500 0.000 Nd
0.250 0.250 0.750 Nd
0.250 0.750 0.250 Nd
0.500 0.000 0.000 Nd
0.500 0.500 0.500 Nd
0.750 0.250 0.750 Nd
0.750 0.750 0.250 Nd
```

***

[12]
Ac8PrNd3: optimized geometry, PBE.

Properties
Its space group is Immm. As for the density: 7.249 g/cm3.

Structure (POSCAR):
```
Ac8PrNd3
1.0
-3.698 5.837 6.340
3.698 -5.837 6.340
3.698 5.837 -6.340
Ac Pr Nd
8 1 3
Direct
0.087 0.249 0.838 Ac
0.265 0.238 0.502 Ac
0.265 0.762 0.027 Ac
0.411 0.249 0.162 Ac
0.589 0.751 0.838 Ac
0.735 0.238 0.973 Ac
0.735 0.762 0.498 Ac
0.913 0.751 0.162 Ac
0.000 0.000 0.000 Pr
0.280 0.780 0.500 Nd
0.500 0.500 0.000 Nd
0.720 0.220 0.500 Nd
```

***

Number 1: D(E_F) 1.576 states/eV per atom, formation enthalpy at 0 K 229 meV per atom. Number 2: D(E_F) 1.736 states/eV per atom, formation enthalpy at 0 K 103 meV per atom. Number 3: D(E_F) 1.354 states/eV per atom, formation enthalpy at 0 K 92 meV per atom. Number 4: D(E_F) 1.700 states/eV per atom, formation enthalpy at 0 K 201 meV per atom. Number 5: D(E_F) 1.625 states/eV per atom, formation enthalpy at 0 K 22 meV per atom. Number 6: D(E_F) 1.610 states/eV per atom, formation enthalpy at 0 K 17 meV per atom. Number 7: D(E_F) 1.785 states/eV per atom, formation enthalpy at 0 K 44 meV per atom. Number 8: D(E_F) 1.672 states/eV per atom, formation enthalpy at 0 K 21 meV per atom. Number 9: D(E_F) 1.769 states/eV per atom, formation enthalpy at 0 K 40 meV per atom. Number 10: D(E_F) 1.818 states/eV per atom, formation enthalpy at 0 K 562 meV per atom. Number 11: D(E_F) 1.756 states/eV per atom, formation enthalpy at 0 K 27 meV per atom. Number 12: D(E_F) 1.570 states/eV per atom, formation enthalpy at 0 K 345 meV per atom.